NaPdPtO3: optimized geometry, GGA-PBE.

Output
uncorrected energy = -5.01 eV/atom

Cell: 5.8143 5.8143 12.6387 Å, 90.00 90.00 148.79°
Last column: nearest neighbours and their distance in Å.
Sites, in units of the cell vectors:
Na (0.2387, 0.7613, 0.7500)  2 O 2.26
Na (0.7613, 0.2387, 0.2500)  2 O 2.26
Pd (0.0217, 0.9783, 0.2500)  4 O 2.03
Pd (0.9783, 0.0217, 0.7500)  4 O 2.03
Pt (0.5000, 0.5000, 0.0000)  4 O 2.01
Pt (0.5000, 0.5000, 0.5000)  4 O 2.01
O (0.0463, 0.9537, 0.0906)  2 Pt 2.01, 1 Pd 2.03
O (0.0463, 0.9537, 0.4094)  2 Pt 2.01, 1 Pd 2.03
O (0.4063, 0.5937, 0.2500)  2 Pd 2.03, 2 Na 2.26
O (0.5937, 0.4063, 0.7500)  2 Pd 2.03, 2 Na 2.26
O (0.9537, 0.0463, 0.5906)  2 Pt 2.01, 1 Pd 2.03
O (0.9537, 0.0463, 0.9094)  2 Pt 2.01, 1 Pd 2.03